[1]
# Si2OsBr

Si2OsBr after structural relaxation (PBE, Alexandria via LeMat-Bulk).

Computed properties:
* final energy: -20.69 eV/cell
* polymorph energy (0 for the lowest one): 710 meV per atom
* magnetization: 0.000 μB/atom
* volume: 64 Å³ per cell
* formation energy (no corrections): 0.766 eV/atom

abc: 5.8359 4.6947 3.0894
angles: 80.09 75.38 122.58
Last column: nearest neighbours and their distance in Å.
Fractional positions:
Br 0.0000 0.5000 0.5000  4 Si 2.58
Os 0.5000 0.5000 0.0000  4 Si 2.58
Si 0.0000 0.0000 0.0000  2 Os 2.58, 2 Br 2.58
Si 0.5000 0.0000 0.5000  2 Br 2.58, 2 Os 2.58

[2]
# SiOsBr2

SiOsBr2 after structural relaxation (PBE, Alexandria via LeMat-Bulk).

Computed properties:
* final energy: -14.51 eV/cell
* polymorph energy (0 for the lowest one): 1298 meV per atom
* magnetization: 0.000 μB/atom
* volume: 74 Å³ per cell
* formation energy (no corrections): 1.373 eV/atom

abc: 4.7020 4.7020 4.7020
angles: 60.00 60.00 60.00
Last column: nearest neighbours and their distance in Å.
Fractional positions:
Si 0.0000 0.0000 0.0000  8 Br 2.88
Os 0.5000 0.5000 0.5000  8 Br 2.88
Br 0.2500 0.2500 0.2500  4 Os 2.88, 4 Si 2.88
Br 0.7500 0.7500 0.7500  4 Si 2.88, 4 Os 2.88

[3]
# SiOsBr2

SiOsBr2 after structural relaxation (PBE, Alexandria via LeMat-Bulk).

Computed properties:
* final energy: -19.70 eV/cell
* polymorph energy (0 for the lowest one): 0 meV per atom
* magnetization: 0.000 μB/atom
* volume: 93 Å³ per cell
* formation energy (no corrections): 0.075 eV/atom

abc: 3.1389 3.1389 9.3950
angles: 90.00 90.00 90.00
Last column: nearest neighbours and their distance in Å.
Fractional positions:
Br 0.0000 0.0000 0.9357  1 Os 2.43
Br 0.5000 0.5000 0.3220  1 Si 2.29
Os 0.0000 0.0000 0.6768  1 Br 2.43, 4 Si 2.45
Si 0.5000 0.5000 0.5656  1 Br 2.29, 4 Os 2.45

[4]
# Si2OsBr

Si2OsBr after structural relaxation (PBE, Alexandria via LeMat-Bulk).

Computed properties:
* final energy: -23.52 eV/cell
* polymorph energy (0 for the lowest one): 0 meV per atom
* magnetization: 0.000 μB/atom
* volume: 81 Å³ per cell
* formation energy (no corrections): 0.056 eV/atom

abc: 3.7432 3.7432 7.8733
angles: 107.50 107.50 51.01
Last column: nearest neighbours and their distance in Å.
Fractional positions:
Br 0.7500 0.7500 0.7500  2 Si 2.45
Os 0.2500 0.2500 0.2500  6 Si 2.42-2.43
Si 0.8775 0.8775 0.0806  3 Os 2.42-2.43, 1 Br 2.45
Si 0.6225 0.6225 0.4194  3 Os 2.42-2.43, 1 Br 2.45

[5]
# Si2OsBr

Si2OsBr after structural relaxation (PBE, Alexandria via LeMat-Bulk).

Computed properties:
* final energy: -22.16 eV/cell
* polymorph energy (0 for the lowest one): 342 meV per atom
* magnetization: 0.000 μB/atom
* volume: 76 Å³ per cell
* formation energy (no corrections): 0.398 eV/atom

abc: 3.0682 3.1531 7.8472
angles: 90.00 90.00 90.00
Last column: nearest neighbours and their distance in Å.
Fractional positions:
Br 0.0000 0.0000 0.5579  4 Os 3.05, 4 Br 3.07-3.15, 1 Si 3.21
Os 0.5000 0.5000 0.8275  5 Si 2.46-2.52
Si 0.0000 0.0000 0.9665  4 Os 2.46, 4 Si 2.62
Si 0.5000 0.5000 0.1480  1 Os 2.52, 4 Si 2.62

[6]
# SiOsBr2

SiOsBr2 after structural relaxation (PBE, Alexandria via LeMat-Bulk).

Computed properties:
* final energy: -15.91 eV/cell
* polymorph energy (0 for the lowest one): 948 meV per atom
* magnetization: 0.000 μB/atom
* volume: 80 Å³ per cell
* formation energy (no corrections): 1.022 eV/atom

abc: 3.2359 3.2359 9.2540
angles: 90.00 90.00 124.15
Last column: nearest neighbours and their distance in Å.
Fractional positions:
Br 0.0000 0.0000 0.0288  2 Os 2.55
Br 0.0000 0.0000 0.4712  2 Os 2.55
Os 0.5000 0.5000 0.2500  4 Br 2.55
Si 0.5000 0.5000 0.7500  4 Br 2.99, 6 Si 3.03-3.24

[7]
# Si2OsBr

Si2OsBr after structural relaxation (PBE, Alexandria via LeMat-Bulk).

Computed properties:
* final energy: -20.25 eV/cell
* polymorph energy (0 for the lowest one): 819 meV per atom
* magnetization: 0.112 μB/atom
* volume: 65 Å³ per cell
* formation energy (no corrections): 0.875 eV/atom

abc: 4.7911 4.7911 2.8415
angles: 90.00 90.00 90.00
Last column: nearest neighbours and their distance in Å.
Fractional positions:
Br 0.5000 0.0000 0.5000  8 Si 2.79, 2 Br 2.84
Os 0.0000 0.5000 0.5000  8 Si 2.79, 2 Os 2.84
Si 0.0000 0.0000 0.0000  4 Br 2.79, 4 Os 2.79, 2 Si 2.84
Si 0.5000 0.5000 0.0000  4 Br 2.79, 4 Os 2.79, 2 Si 2.84

[8]
# Si2OsBr

Si2OsBr after structural relaxation (PBE, Alexandria via LeMat-Bulk).

Computed properties:
* final energy: -23.06 eV/cell
* polymorph energy (0 for the lowest one): 116 meV per atom
* magnetization: 0.000 μB/atom
* volume: 68 Å³ per cell
* formation energy (no corrections): 0.172 eV/atom

abc: 3.0638 3.0676 7.2476
angles: 89.99 90.00 90.00
Last column: nearest neighbours and their distance in Å.
Fractional positions:
Br 0.5000 0.2500 0.2500  4 Si 2.70
Os 0.5000 0.7500 0.7500  8 Si 2.58
Si 0.0000 0.2497 0.9439  4 Os 2.58, 2 Br 2.70, 1 Si 2.81
Si 0.0000 0.2503 0.5561  4 Os 2.58, 2 Br 2.70, 1 Si 2.81

[9]
# Si2OsBr

Si2OsBr after structural relaxation (PBE, Alexandria via LeMat-Bulk).

Computed properties:
* final energy: -20.92 eV/cell
* polymorph energy (0 for the lowest one): 652 meV per atom
* magnetization: 0.000 μB/atom
* volume: 72 Å³ per cell
* formation energy (no corrections): 0.708 eV/atom

abc: 6.0163 6.0163 6.0163
angles: 152.26 134.66 53.98
Last column: nearest neighbours and their distance in Å.
Fractional positions:
Br 0.7500 0.2500 0.5000  4 Os 2.73, 2 Br 2.88
Os 0.2500 0.7500 0.5000  4 Si 2.52, 4 Br 2.73
Si 0.0574 0.0574 0.0000  2 Os 2.52
Si 0.4426 0.4426 0.0000  2 Os 2.52

[10]
# Si3OsBr

Si3OsBr after structural relaxation (PBE, Alexandria via LeMat-Bulk).

Computed properties:
* final energy: -28.40 eV/cell
* polymorph energy (0 for the lowest one): 0 meV per atom
* magnetization: 0.000 μB/atom
* volume: 102 Å³ per cell
* formation energy (no corrections): 0.154 eV/atom

abc: 4.6658 4.6658 4.6658
angles: 90.00 90.00 90.00
Last column: nearest neighbours and their distance in Å.
Fractional positions:
Si 0.0000 0.5000 0.0000  2 Os 2.33
Si 0.0000 0.0000 0.5000  2 Os 2.33
Si 0.5000 0.0000 0.0000  2 Os 2.33
Os 0.0000 0.0000 0.0000  6 Si 2.33
Br 0.5000 0.5000 0.5000  12 Si 3.30

[11]
# Si2OsBr

Si2OsBr after structural relaxation (PBE, Alexandria via LeMat-Bulk).

Computed properties:
* final energy: -20.32 eV/cell
* polymorph energy (0 for the lowest one): 801 meV per atom
* magnetization: 0.000 μB/atom
* volume: 63 Å³ per cell
* formation energy (no corrections): 0.857 eV/atom

abc: 4.6343 4.6343 3.0283
angles: 90.00 90.00 105.55
Last column: nearest neighbours and their distance in Å.
Fractional positions:
Br 0.5000 0.0000 0.5000  8 Si 2.77, 2 Os 2.80, 2 Br 3.03
Os 0.0000 0.5000 0.5000  8 Si 2.77, 2 Br 2.80, 2 Os 3.03
Si 0.0000 0.0000 0.0000  4 Br 2.77, 4 Os 2.77, 4 Si 2.80-3.03
Si 0.5000 0.5000 0.0000  4 Os 2.77, 4 Br 2.77, 4 Si 2.80-3.03

[12]
# SiOsBr2

SiOsBr2 after structural relaxation (PBE, Alexandria via LeMat-Bulk).

Computed properties:
* final energy: -18.88 eV/cell
* polymorph energy (0 for the lowest one): 204 meV per atom
* magnetization: 0.000 μB/atom
* volume: 121 Å³ per cell
* formation energy (no corrections): 0.279 eV/atom

abc: 3.8505 7.2139 7.2354
angles: 37.18 90.00 90.00
Last column: nearest neighbours and their distance in Å.
Fractional positions:
Br 0.0000 0.1231 0.1267  2 Os 2.58
Br 0.0000 0.3769 0.3733  2 Os 2.58
Os 0.5000 0.2500 0.2500  2 Si 2.30, 4 Br 2.58
Si 0.5000 0.7500 0.7500  2 Os 2.30

[13]
# SiOsBr2

SiOsBr2 after structural relaxation (PBE, Alexandria via LeMat-Bulk).

Computed properties:
* final energy: -14.79 eV/cell
* polymorph energy (0 for the lowest one): 1228 meV per atom
* magnetization: 0.342 μB/atom
* volume: 74 Å³ per cell
* formation energy (no corrections): 1.303 eV/atom

abc: 4.7110 4.7110 4.7110
angles: 60.00 60.00 60.00
Last column: nearest neighbours and their distance in Å.
Fractional positions:
Br 0.0000 0.0000 0.0000  4 Si 2.88, 4 Br 2.88
Br 0.2500 0.2500 0.2500  4 Br 2.88, 4 Os 2.88
Os 0.5000 0.5000 0.5000  4 Br 2.88, 4 Si 2.88
Si 0.7500 0.7500 0.7500  4 Os 2.88, 4 Br 2.88

[14]
# SiOsBr2

SiOsBr2 after structural relaxation (PBE, Alexandria via LeMat-Bulk).

Computed properties:
* final energy: -16.60 eV/cell
* polymorph energy (0 for the lowest one): 774 meV per atom
* magnetization: 0.000 μB/atom
* volume: 91 Å³ per cell
* formation energy (no corrections): 0.849 eV/atom

abc: 12.4994 12.4994 12.4994
angles: 13.41 13.41 13.41
Last column: nearest neighbours and their distance in Å.
Fractional positions:
Si 0.5000 0.5000 0.5000  6 Si 2.92
Os 0.0000 0.0000 0.0000  2 Br 2.38
Br 0.9358 0.9358 0.9358  1 Os 2.38
Br 0.0642 0.0642 0.0642  1 Os 2.38

[15]
# SiOsBr2

SiOsBr2 after structural relaxation (PBE, Alexandria via LeMat-Bulk).

Computed properties:
* final energy: -17.88 eV/cell
* polymorph energy (0 for the lowest one): 454 meV per atom
* magnetization: 0.000 μB/atom
* volume: 90 Å³ per cell
* formation energy (no corrections): 0.529 eV/atom

abc: 3.2944 3.2944 9.7394
angles: 90.00 90.00 121.78
Last column: nearest neighbours and their distance in Å.
Fractional positions:
Br 0.0000 0.0000 0.9208  2 Si 2.57
Br 0.5000 0.5000 0.3204  2 Os 2.71
Os 0.0000 0.0000 0.5443  2 Si 2.31
Si 0.5000 0.5000 0.7145  2 Os 2.31, 2 Br 2.57

[16]
# Si2OsBr

Si2OsBr after structural relaxation (PBE, Alexandria via LeMat-Bulk).

Computed properties:
* final energy: -21.60 eV/cell
* polymorph energy (0 for the lowest one): 480 meV per atom
* magnetization: 0.000 μB/atom
* volume: 75 Å³ per cell
* formation energy (no corrections): 0.536 eV/atom

abc: 10.1561 10.1561 10.1561
angles: 16.61 16.61 16.61
Last column: nearest neighbours and their distance in Å.
Fractional positions:
Br 0.4829 0.4829 0.4829  6 Br 2.93, 3 Os 3.00
Os 0.7338 0.7338 0.7338  3 Si 2.37
Si 0.0118 0.0118 0.0118  3 Os 2.37
Si 0.2714 0.2714 0.2714  9 Si 2.79-2.93

[17]
# SiOsBr2

SiOsBr2 after structural relaxation (PBE, Alexandria via LeMat-Bulk).

Computed properties:
* final energy: -18.41 eV/cell
* polymorph energy (0 for the lowest one): 323 meV per atom
* magnetization: 0.000 μB/atom
* volume: 94 Å³ per cell
* formation energy (no corrections): 0.398 eV/atom

abc: 8.0920 8.0920 8.0920
angles: 158.02 151.73 36.09
Last column: nearest neighbours and their distance in Å.
Fractional positions:
Br 0.8975 0.8975 0.0000  2 Os 2.74, 2 Si 3.01
Br 0.6025 0.6025 0.0000  2 Os 2.74, 2 Si 3.01
Os 0.7500 0.2500 0.5000  4 Si 2.51, 4 Br 2.74
Si 0.2500 0.7500 0.5000  4 Os 2.51

[18]
# Si2OsBr

Si2OsBr after structural relaxation (PBE, Alexandria via LeMat-Bulk).

Computed properties:
* final energy: -19.79 eV/cell
* polymorph energy (0 for the lowest one): 933 meV per atom
* magnetization: 0.000 μB/atom
* volume: 63 Å³ per cell
* formation energy (no corrections): 0.989 eV/atom

abc: 2.9266 4.5767 4.7405
angles: 90.00 90.00 90.00
Last column: nearest neighbours and their distance in Å.
Fractional positions:
Br 0.5000 0.0000 0.5000  4 Os 2.72, 4 Si 2.79, 2 Br 2.93
Os 0.0000 0.5000 0.5000  4 Br 2.72, 4 Si 2.79, 2 Os 2.93
Si 0.0000 0.0000 0.0000  6 Si 2.72-2.93, 4 Br 2.79
Si 0.5000 0.5000 0.0000  6 Si 2.72-2.93, 4 Os 2.79

[19]
# SiOsBr2

SiOsBr2 after structural relaxation (PBE, Alexandria via LeMat-Bulk).

Computed properties:
* final energy: -15.41 eV/cell
* polymorph energy (0 for the lowest one): 1072 meV per atom
* magnetization: 0.000 μB/atom
* volume: 83 Å³ per cell
* formation energy (no corrections): 1.147 eV/atom

abc: 10.0398 10.0398 10.0398
angles: 17.80 17.80 17.80
Last column: nearest neighbours and their distance in Å.
Fractional positions:
Si 0.0000 0.0000 0.0000  2 Br 2.93, 6 Si 3.11
Os 0.5000 0.5000 0.5000  6 Br 2.69
Br 0.9011 0.9011 0.9011  3 Os 2.69, 1 Si 2.93
Br 0.0989 0.0989 0.0989  3 Os 2.69, 1 Si 2.93

[20]
# SiOsBr2

SiOsBr2 after structural relaxation (PBE, Alexandria via LeMat-Bulk).

Computed properties:
* final energy: -15.70 eV/cell
* polymorph energy (0 for the lowest one): 999 meV per atom
* magnetization: 0.000 μB/atom
* volume: 81 Å³ per cell
* formation energy (no corrections): 1.074 eV/atom

abc: 9.2750 9.2750 9.2750
angles: 19.94 19.94 19.94
Last column: nearest neighbours and their distance in Å.
Fractional positions:
Br 0.9849 0.9849 0.9849  3 Os 2.63
Br 0.5151 0.5151 0.5151  3 Os 2.63
Os 0.2500 0.2500 0.2500  6 Br 2.63
Si 0.7500 0.7500 0.7500  6 Si 3.21, 6 Br 3.26